MnBeF4 | PBE with a Hubbard U | optimized geometry

Cell lengths 4.433, 4.433, 8.977 Å; angles 90.00, 90.00, 90.00 degrees
Each line ends with the local moment (μB).
Fractional coordinates of all 12 atoms:
Mn  0.000  0.000  0.000  4.68
Mn  0.000  0.000  0.500  4.68
Be  0.000  0.500  0.250  0.01
Be  0.500  0.000  0.750  0.01
F  0.295  0.193  0.855  0.03
F  0.705  0.807  0.855  0.03
F  0.193  0.295  0.355  0.03
F  0.295  0.807  0.645  0.03
F  0.705  0.193  0.645  0.03
F  0.193  0.705  0.145  0.03
F  0.807  0.295  0.145  0.03
F  0.807  0.705  0.355  0.03

- V: 176.4 Å³ per cell
- Magnetic moment: 5.0 μB/f.u.
- VASP energy: -5.983 eV/atom